## GeCF (PBE)

Data for a relaxed structure of GeCF.

Lattice parameters (Å, degrees): 9.2982 3.2540 5.6363 90.00 101.92 90.00
Fractional coordinates of all 12 atoms:
Ge: 0.5342 0.0000 0.2293
Ge: 0.8640 0.5000 0.8424
Ge: 0.5342 0.5000 0.7293
Ge: 0.8640 0.0000 0.3424
F: 0.0546 0.5000 0.9069
F: 0.0546 0.0000 0.4069
F: 0.3436 0.0000 0.1652
F: 0.3436 0.5000 0.6652
C: 0.7888 0.5000 0.4834
C: 0.6095 0.0000 0.9216
C: 0.6095 0.5000 0.4216
C: 0.7888 0.0000 0.9834

Results
* energy: -5.815 eV per atom
* E above lowest polymorph: 0.037 eV/atom
* size of the total moment: 0.00 μB per formula unit
* V: 167 Å³/cell
* formation energy without anion corrections: -0.58 eV/atom